The following is a PBE-GGA calculation of a geometry-optimized LiAsBr2 structure, from Alexandria via LeMat-Bulk.

a = 5.0756 Å, b = 5.0756 Å, c = 3.4872 Å
α = 90.00°, β = 90.00°, γ = 90.00°
Atoms (fractional coordinates):
Li (0.0000, 0.0000, 0.0000)
As (0.5000, 0.5000, 0.0000)
Br (0.0000, 0.5000, 0.5000)
Br (0.5000, 0.0000, 0.5000)

Results
SG = P4/mmm (123)
Total energy = -2.7326 eV/atom
Energy relative to the lowest polymorph listed for this composition = 333 meV/atom
Calculated density = 4.5 g cm⁻³